Density functional theory data (PBE with a Hubbard U) for a relaxed structure of Sm2MnNiO6.

Cell and atoms, written as POSCAR:
```
Sm2MnNiO6
1.0
5.376 0.000 0.000
0.000 5.609 0.000
-5.352 0.000 7.683
Sm Mn Ni O
4 2 2 12
Cartesian
-0.077 0.347 1.914 Sm
-2.753 2.457 5.756 Sm
2.777 3.152 1.927 Sm
0.101 5.262 5.769 Sm
2.688 0.000 0.000 Mn
0.012 2.805 3.842 Mn
-2.676 0.000 3.842 Ni
0.000 2.805 0.000 Ni
-4.229 1.091 7.320 O
-1.553 1.714 3.478 O
-3.698 3.993 7.294 O
-1.022 4.421 3.452 O
-2.166 0.153 5.821 O
0.510 2.651 1.979 O
-0.486 2.958 5.704 O
2.190 5.456 1.863 O
1.046 1.188 4.231 O
3.722 1.616 0.389 O
1.576 3.895 4.205 O
4.253 4.519 0.364 O
```

## Properties
Electronic total energy   -7.35 eV per atom
ρ   7.315 g/cm³
DOS at the Fermi energy   0.0 states/eV/f.u.
Magnetization   0.50 μB per atom
Space group   P2_1/c, No. 14